VASP calculation (PBE) on crystalline GaHOs at its relaxed geometry.

Cell lengths 6.731, 8.214, 5.555 Å; angles 90.00, 113.61, 90.00 degrees
Positions (direct):
1 Ga 0.106 0.246 0.057
2 Ga 0.106 0.254 0.557
3 Ga 0.371 0.512 0.625
4 Ga 0.371 0.988 0.125
5 Ga 0.629 0.012 0.875
6 Ga 0.629 0.488 0.375
7 Ga 0.894 0.746 0.443
8 Ga 0.894 0.754 0.943
9 H 0.326 0.529 0.033
10 H 0.326 0.971 0.533
11 H 0.460 0.214 0.626
12 H 0.460 0.286 0.126
13 H 0.540 0.714 0.874
14 H 0.540 0.786 0.374
15 H 0.674 0.029 0.467
16 H 0.674 0.471 0.967
17 Os 0.049 0.511 0.784
18 Os 0.049 0.989 0.284
19 Os 0.304 0.692 0.220
20 Os 0.304 0.808 0.720
21 Os 0.696 0.192 0.280
22 Os 0.696 0.308 0.780
23 Os 0.951 0.011 0.716
24 Os 0.951 0.489 0.216

Summary:
N(E_F) ... 1.19 states/eV/f.u.
SG ... No. 14
Polymorph energy (0 for the lowest one) ... 0 meV per atom
E ... -137.208 eV for the cell shown